A plane-wave DFT calculation with PBE-GGA was carried out for an optimized crystal structure of Ac2PF.

Summary:
**M_tot**: 0.00 μB per formula unit
**Raw formation energy**: -1912 meV/atom
**Density of states at the Fermi level**: 3.092 states/eV/f.u.
**Energy relative to the lowest polymorph listed for this composition**: 44 meV/atom

Lattice parameters (Å, degrees): 4.1948 4.1948 26.7852 90.00 90.00 120.00
Space group R3m (No. 160, hexagonal axes)
Asymmetric unit:
Ac 0.0000 0.0000 0.0000
Ac 0.0000 0.0000 0.1976
P 0.0000 0.0000 0.6002
F 0.0000 0.0000 0.3699

A plane-wave DFT calculation with PBE-GGA was carried out for an optimized crystal structure of Pm2BeGe.

Summary:
**M_tot**: 0.00 μB per formula unit
**Density of states at the Fermi level**: 1.773 states/eV/f.u.
**Energy relative to the lowest polymorph listed for this composition**: 2 meV/atom
**Energy of formation**: -257 meV per atom

Lattice parameters (Å, degrees): 4.960 4.960 3.737 90.00 90.00 90.00
Space group P4/mmm (No. 123)
Asymmetric unit:
Pm 0.000 0.500 0.000
Be 0.000 0.000 0.500
Ge 0.500 0.500 0.500

A plane-wave DFT calculation with PBE-GGA was carried out for an optimized crystal structure of GaGe4Ru5.

Summary:
**M_tot**: 0.00 μB per formula unit
**Density of states at the Fermi level**: 3.530 states/eV/f.u.
**Energy of formation**: -283 meV per atom

Lattice parameters (Å, degrees): 3.037 3.037 15.165 90.00 90.00 90.00
Space group P4/mmm (No. 123)
Asymmetric unit:
Ga 0.000 0.000 0.000
Ge 0.000 0.000 0.197
Ge 0.000 0.000 0.399
Ru 0.500 0.500 0.103
Ru 0.500 0.500 0.301
Ru 0.500 0.500 0.500

A plane-wave DFT calculation with PBE-GGA was carried out for an optimized crystal structure of In2SbI.

Summary:
**M_tot**: 0.00 μB per formula unit
**Raw formation energy**: -124 meV/atom
**Density of states at the Fermi level**: 1.380 states/eV/f.u.
**Energy relative to the lowest polymorph listed for this composition**: 23 meV/atom

Lattice parameters (Å, degrees): 4.4963 4.4963 23.5925 90.00 90.00 120.00
Space group R3m (No. 160, hexagonal axes)
Asymmetric unit:
In 0.0000 0.0000 0.0000
In 0.0000 0.0000 0.1996
Sb 0.0000 0.0000 0.6026
I 0.0000 0.0000 0.4276

A plane-wave DFT calculation with PBE-GGA was carried out for an optimized crystal structure of NbSiN2F.

Summary:
**M_tot**: 1.73 μB per formula unit
**Raw formation energy**: -406 meV/atom
**Density of states at the Fermi level**: 1.103 states/eV/f.u.
**Energy relative to the lowest polymorph listed for this composition**: 0 meV/atom

Lattice parameters (Å, degrees): 3.753 3.753 3.422 90.00 90.00 90.00
Space group P4/mmm (No. 123)
Asymmetric unit:
Nb 0.000 0.000 0.000
Si 0.500 0.500 0.500
N 0.000 0.500 0.500
F 0.500 0.500 0.000

A plane-wave DFT calculation with PBE-GGA was carried out for an optimized crystal structure of CaIr3Se.

Summary:
**M_tot**: 0.00 μB per formula unit
**Raw formation energy**: 530 meV/atom
**Density of states at the Fermi level**: 6.085 states/eV/f.u.
**Energy relative to the lowest polymorph listed for this composition**: 0 meV/atom

Lattice parameters (Å, degrees): 4.659 4.659 4.659 90.00 90.00 90.00
Space group Pm-3m (No. 221)
Asymmetric unit:
Ca 0.000 0.000 0.000
Ir 0.000 0.500 0.500
Se 0.500 0.500 0.500